No. 1
The following is a PBE calculation of an optimized crystal structure of AcCuSe, from the Alexandria database.

a = 4.2255 Å, b = 4.4350 Å, c = 4.4350 Å
α = 120.00°, β = 90.00°, γ = 90.00°
Closest atoms and distances in Å follow each position.
Element x y z (fractional)
Ac (0.6665, 0.6667, 0.3333)  6 Cu 3.32, 6 Se 3.32
Se (0.1665, 0.3333, 0.6667)  3 Cu 2.56
Cu (0.1670, 0.0000, 0.0000)  3 Se 2.56

Properties
total moment = 0.00 μB per cell
formation energy from raw total energies = -0.836 eV per atom
space-group type = P-6m2, No. 187
energy above the lowest structure with this stoichiometry = 104.9 meV/atom

No. 2
The following is a PBE calculation of an optimized crystal structure of AcSmCu2Se4, from the Alexandria database.

a = 6.8973 Å, b = 6.4782 Å, c = 6.4782 Å
α = 68.68°, β = 57.84°, γ = 57.84°
Closest atoms and distances in Å follow each position.
Element x y z (fractional)
Se (0.4535, 0.0866, 0.5060)  1 Cu 2.34
Se (0.5465, 0.4940, 0.9134)  1 Cu 2.34
Se (0.9539, 0.5060, 0.0866)  1 Cu 2.34
Se (0.0461, 0.9134, 0.4940)  1 Cu 2.34
Sm (0.5000, 0.5000, 0.5000)  4 Se 2.85
Ac (0.0000, 0.0000, 0.0000)  8 Se 3.20-3.35
Cu (0.8445, 0.6555, 0.6555)  2 Se 2.34, 1 Cu 2.54
Cu (0.1555, 0.3445, 0.3445)  2 Se 2.34, 1 Cu 2.54

Properties
total moment = 0.00 μB per cell
formation energy from raw total energies = -1.152 eV per atom
space-group type = I222, No. 23

No. 3
The following is a PBE calculation of an optimized crystal structure of AcSm2CuSe5, from the Alexandria database.

a = 4.0907 Å, b = 10.2621 Å, c = 11.6252 Å
α = 90.00°, β = 90.00°, γ = 101.50°
Closest atoms and distances in Å follow each position.
Element x y z (fractional)
Se (0.4955, 0.9909, 0.7836)  1 Cu 2.43
Se (0.5045, 0.0091, 0.2836)  1 Cu 2.43
Se (0.0510, 0.1020, 0.0609)  2 Cu 2.44
Se (0.3347, 0.6694, 0.3189)  1 Cu 2.48
Se (0.6351, 0.2702, 0.5058)  4 Sm 3.09-3.11, 1 Ac 3.29
Se (0.6965, 0.3930, 0.2053)  2 Sm 2.99, 2 Ac 3.10
Se (0.9490, 0.8980, 0.5609)  2 Cu 2.44
Se (0.6653, 0.3306, 0.8189)  1 Cu 2.48
Se (0.3649, 0.7298, 0.0058)  4 Sm 3.09-3.11, 1 Ac 3.29
Se (0.3035, 0.6070, 0.7053)  2 Sm 2.99, 2 Ac 3.10
Sm (0.0832, 0.1665, 0.6833)  7 Se 2.94-3.09
Sm (0.9168, 0.8335, 0.1833)  7 Se 2.94-3.09
Sm (0.8931, 0.7862, 0.8102)  7 Se 2.92-3.11
Sm (0.1069, 0.2138, 0.3102)  7 Se 2.92-3.11
Cu (0.5684, 0.1368, 0.9506)  4 Se 2.43-2.48
Cu (0.4316, 0.8632, 0.4506)  4 Se 2.43-2.48
Ac (0.2012, 0.4024, 0.0053)  6 Se 3.07-3.29, 2 Cu 3.42
Ac (0.7988, 0.5976, 0.5053)  6 Se 3.07-3.29, 2 Cu 3.42

Properties
total moment = 0.00 μB per cell
formation energy from raw total energies = -1.559 eV per atom
space-group type = Cmc2_1, No. 36

No. 4
The following is a PBE calculation of an optimized crystal structure of AcSmCuSe4, from the Alexandria database.

a = 7.1861 Å, b = 6.0261 Å, c = 8.5890 Å
α = 90.00°, β = 107.13°, γ = 90.00°
Closest atoms and distances in Å follow each position.
Element x y z (fractional)
Se (0.0143, 0.5098, 0.7389)  1 Cu 2.42
Se (0.4285, 0.7500, 0.1163)  1 Cu 2.40
Se (0.9857, 0.0098, 0.2611)  1 Cu 2.42
Se (0.0143, 0.9902, 0.7389)  1 Cu 2.42
Se (0.5742, 0.2500, 0.3989)  1 Cu 2.40
Se (0.4258, 0.7500, 0.6011)  1 Cu 2.40
Se (0.5715, 0.2500, 0.8837)  1 Cu 2.40
Se (0.9857, 0.4902, 0.2611)  1 Cu 2.42
Ac (0.2605, 0.2500, 0.0668)  8 Se 3.07-3.27
Ac (0.7395, 0.7500, 0.9332)  8 Se 3.07-3.27
Cu (0.7460, 0.2500, 0.6840)  4 Se 2.40-2.42
Cu (0.2540, 0.7500, 0.3160)  4 Se 2.40-2.42
Sm (0.7295, 0.7500, 0.4359)  8 Se 2.93-3.20, 1 Cu 3.27
Sm (0.2705, 0.2500, 0.5641)  8 Se 2.93-3.20, 1 Cu 3.27

Properties
total moment = 0.00 μB per cell
formation energy from raw total energies = -1.446 eV per atom
space-group type = P2_1/m, No. 11

No. 5
The following is a PBE calculation of an optimized crystal structure of AcCuSnSe3, from the Alexandria database.

a = 4.1696 Å, b = 9.0135 Å, c = 9.0592 Å
α = 98.18°, β = 90.00°, γ = 90.00°
Closest atoms and distances in Å follow each position.
Element x y z (fractional)
Sn (0.7500, 0.3518, 0.8391)  5 Se 2.83-3.06
Sn (0.2500, 0.6482, 0.1609)  5 Se 2.83-3.06
Se (0.2500, 0.1101, 0.8611)  1 Cu 2.56
Se (0.7500, 0.3992, 0.1545)  3 Sn 2.83-3.06
Se (0.2500, 0.6008, 0.8455)  3 Sn 2.83-3.06
Se (0.7500, 0.8899, 0.1389)  1 Cu 2.56
Se (0.2500, 0.7964, 0.5060)  3 Cu 2.49-2.55
Se (0.7500, 0.2036, 0.4940)  3 Cu 2.49-2.55
Cu (0.7500, 0.9264, 0.4242)  4 Se 2.49-2.56, 2 Cu 2.73
Cu (0.2500, 0.0736, 0.5758)  4 Se 2.49-2.56, 2 Cu 2.73
Ac (0.2500, 0.1540, 0.2267)  7 Se 3.17-3.28, 1 Cu 3.34
Ac (0.7500, 0.8460, 0.7733)  7 Se 3.17-3.28, 1 Cu 3.34

Properties
total moment = 0.00 μB per cell
formation energy from raw total energies = -1.008 eV per atom
space-group type = P2_1/m, No. 11

No. 6
The following is a PBE calculation of an optimized crystal structure of Ac2CuSnSe6, from the Alexandria database.

a = 6.6631 Å, b = 7.9999 Å, c = 10.0608 Å
α = 90.00°, β = 90.06°, γ = 90.00°
Closest atoms and distances in Å follow each position.
Element x y z (fractional)
Ac (0.5538, 0.6160, 0.7525)  8 Se 3.17-3.37
Ac (0.9462, 0.1160, 0.7475)  8 Se 3.17-3.37
Ac (0.4462, 0.3840, 0.2475)  8 Se 3.17-3.37
Ac (0.0538, 0.8840, 0.2525)  8 Se 3.17-3.37
Se (0.1027, 0.4924, 0.7622)  1 Cu 2.49, 1 Sn 2.73
Se (0.6680, 0.3252, 0.5446)  1 Sn 2.66, 1 Cu 2.87
Se (0.3320, 0.6748, 0.4554)  1 Sn 2.66, 1 Cu 2.87
Se (0.1680, 0.1748, 0.0446)  1 Sn 2.66, 1 Cu 2.87
Se (0.1878, 0.1717, 0.4581)  1 Cu 2.53
Se (0.8122, 0.8283, 0.5419)  1 Cu 2.53
Se (0.3973, 0.9924, 0.7378)  1 Cu 2.49, 1 Sn 2.73
Se (0.3122, 0.6717, 0.0419)  1 Cu 2.53
Se (0.8973, 0.5076, 0.2378)  1 Cu 2.49, 1 Sn 2.73
Se (0.6878, 0.3283, 0.9581)  1 Cu 2.53
Se (0.6027, 0.0076, 0.2622)  1 Cu 2.49, 1 Sn 2.73
Se (0.8320, 0.8252, 0.9554)  1 Sn 2.66, 1 Cu 2.87
Cu (0.0000, 0.5000, 0.0000)  4 Se 2.49-2.53
Cu (0.5000, 0.0000, 0.5000)  4 Se 2.49-2.53
Sn (0.0000, 0.5000, 0.5000)  6 Se 2.66-2.94
Sn (0.5000, 0.0000, 0.0000)  6 Se 2.66-2.94

Properties
total moment = 0.00 μB per cell
formation energy from raw total energies = -1.102 eV per atom
space-group type = P2_1/c, No. 14

No. 7
The following is a PBE calculation of an optimized crystal structure of Ac2CuSnSe5, from the Alexandria database.

a = 4.2493 Å, b = 9.2595 Å, c = 12.6222 Å
α = 90.00°, β = 90.00°, γ = 103.27°
Closest atoms and distances in Å follow each position.
Element x y z (fractional)
Ac (0.8835, 0.7670, 0.1881)  8 Se 3.18-3.24
Ac (0.1165, 0.2330, 0.6881)  8 Se 3.18-3.24
Ac (0.8804, 0.7608, 0.8058)  8 Se 3.11-3.46
Ac (0.1196, 0.2392, 0.3058)  8 Se 3.11-3.46
Se (0.5056, 0.0112, 0.7894)  1 Cu 2.45
Se (0.9622, 0.9244, 0.5574)  2 Cu 2.44
Se (0.6459, 0.2918, 0.4999)  1 Cu 2.58
Se (0.7067, 0.4134, 0.1600)  2 Sn 2.93, 3 Ac 3.21-3.22
Se (0.4944, 0.9888, 0.2894)  1 Cu 2.45
Se (0.0378, 0.0756, 0.0574)  2 Cu 2.44
Se (0.7020, 0.4040, 0.8384)  2 Sn 2.97, 3 Ac 3.24
Se (0.2933, 0.5866, 0.6600)  2 Sn 2.93, 3 Ac 3.21-3.22
Se (0.3541, 0.7082, 0.9999)  1 Cu 2.58
Se (0.2980, 0.5960, 0.3384)  2 Sn 2.97, 3 Ac 3.24
Cu (0.4969, 0.9937, 0.9831)  4 Se 2.44-2.58
Cu (0.5031, 0.0063, 0.4831)  4 Se 2.44-2.58
Sn (0.1890, 0.3779, 0.0019)  6 Se 2.81-2.98
Sn (0.8110, 0.6221, 0.5019)  6 Se 2.81-2.98

Properties
total moment = 0.00 μB per cell
formation energy from raw total energies = -1.251 eV per atom
space-group type = Cmc2_1, No. 36

No. 8
The following is a PBE calculation of an optimized crystal structure of AcTb2CuSe5, from the Alexandria database.

a = 4.0353 Å, b = 10.2636 Å, c = 11.4818 Å
α = 90.00°, β = 90.00°, γ = 101.34°
Closest atoms and distances in Å follow each position.
Element x y z (fractional)
Se (0.3671, 0.7343, 0.0060)  4 Tb 3.05-3.08, 1 Ac 3.32
Se (0.6953, 0.3906, 0.2096)  2 Tb 2.94, 2 Ac 3.11
Se (0.6643, 0.3285, 0.8141)  1 Cu 2.46
Se (0.0520, 0.1039, 0.0628)  2 Cu 2.42
Se (0.3047, 0.6094, 0.7096)  2 Tb 2.94, 2 Ac 3.11
Se (0.3357, 0.6715, 0.3141)  1 Cu 2.46
Se (0.4952, 0.9905, 0.7847)  1 Cu 2.43
Se (0.6329, 0.2657, 0.5060)  4 Tb 3.05-3.08, 1 Ac 3.32
Se (0.5048, 0.0095, 0.2847)  1 Cu 2.43
Se (0.9480, 0.8961, 0.5628)  2 Cu 2.42
Tb (0.1059, 0.2117, 0.3093)  7 Se 2.88-3.08
Tb (0.0807, 0.1613, 0.6827)  7 Se 2.90-3.05
Tb (0.8941, 0.7883, 0.8093)  7 Se 2.88-3.08
Tb (0.9193, 0.8387, 0.1827)  7 Se 2.90-3.05
Cu (0.5704, 0.1407, 0.9505)  4 Se 2.42-2.46
Cu (0.4296, 0.8593, 0.4505)  4 Se 2.42-2.46
Ac (0.2022, 0.4044, 0.0042)  6 Se 3.07-3.32, 2 Cu 3.39
Ac (0.7978, 0.5956, 0.5042)  6 Se 3.07-3.32, 2 Cu 3.39

Properties
total moment = 0.00 μB per cell
formation energy from raw total energies = -1.538 eV per atom
space-group type = Cmc2_1, No. 36

no.,total energy (eV per atom)
1,-4.733
2,-5.022
3,-5.455
4,-5.283
5,-4.785
6,-4.824
7,-5.000
8,-5.415